# PBE-GGA PaAlPb2S6, relaxed
# raw formation energy = -980 meV per atom
# crystal system = monoclinic
data_PaAlPb2S6
_chemical_formula_sum 'Pa2 Al2 Pb4 S12'
_cell_length_a 6.769
_cell_length_b 7.085
_cell_length_c 9.779
_cell_angle_alpha 90.00
_cell_angle_beta 89.33
_cell_angle_gamma 90.00
_space_group_name_H-M_alt 'P 1'
_space_group_IT_number 1
loop_
_space_group_symop_operation_xyz
'x,y,z'
loop_
_atom_site_label
_atom_site_fract_x
_atom_site_fract_y
_atom_site_fract_z
_atom_site_occupancy
Pb1 0.020 0.931 0.255 1
Al1 0.000 0.500 0.500 1
S1 0.293 0.691 0.449 1
S2 0.793 0.809 0.949 1
S3 0.685 0.290 0.954 1
S4 0.097 0.482 0.739 1
Pb2 0.520 0.569 0.755 1
S5 0.207 0.191 0.051 1
S6 0.815 0.790 0.546 1
S7 0.315 0.710 0.046 1
S8 0.597 0.018 0.239 1
Pb3 0.980 0.069 0.745 1
Pb4 0.480 0.431 0.245 1
Pa1 0.500 0.000 0.500 1
S9 0.707 0.309 0.551 1
S10 0.903 0.518 0.261 1
Al2 0.500 0.000 0.000 1
S11 0.185 0.210 0.454 1
S12 0.403 0.982 0.761 1
Pa2 0.000 0.500 0.000 1